Record 1
Material: SbAs
Method: DFT, meta-GGA SCAN
State: PBEsol geometry

Cell lengths 7.326, 7.326, 7.326 Å; angles 32.22, 32.22, 32.22 degrees
Atoms (fractional coordinates):
Sb 0.127 0.127 0.127
Sb 0.873 0.873 0.873
As 0.362 0.362 0.362
As 0.638 0.638 0.638

Results
Total energy, eV per atom: -28.665
Energy relative to the elements, uncorrected, kJ per mole of atoms: 5.9
Space group: R-3m (166)
Energy relative to the lowest polymorph listed for this composition, eV per formula unit: 0.01
Magnetic moment, μB/f.u.: 0.0



Record 2
Material: SbAs3
Method: DFT, meta-GGA SCAN
State: PBEsol geometry

Cell lengths 6.238, 6.238, 4.112 Å; angles 107.95, 107.95, 36.22 degrees
Atoms (fractional coordinates):
Sb 0.000 0.000 0.000
As 0.256 0.256 0.301
As 0.500 0.500 0.500
As 0.744 0.744 0.699

Results
Total energy, eV per atom: -24.366
Energy relative to the elements, uncorrected, kJ per mole of atoms: 8.8
Space group: C2/m (12)
Energy relative to the lowest polymorph listed for this composition, eV per formula unit: 0.23
Magnetic moment, μB/f.u.: 0.0



Record 3
Material: SbAs3
Method: DFT, meta-GGA SCAN
State: PBEsol geometry

Cell lengths 3.081, 3.081, 9.171 Å; angles 90.00, 90.00, 110.84 degrees
Atoms (fractional coordinates):
Sb 0.000 0.000 0.000
As 0.000 0.000 0.500
As 0.500 0.500 0.272
As 0.500 0.500 0.728

Results
Total energy, eV per atom: -23.999
Energy relative to the elements, uncorrected, kJ per mole of atoms: 44.3
Space group: Cmmm (65)
Energy relative to the lowest polymorph listed for this composition, eV per formula unit: 1.70
Magnetic moment, μB/f.u.: 0.0



Record 4
Material: Sb5As
Method: DFT, meta-GGA SCAN
State: PBEsol geometry

Cell lengths 5.849, 5.849, 5.693 Å; angles 90.00, 90.00, 120.00 degrees
Atoms (fractional coordinates):
Sb 0.000 0.500 0.000
Sb 0.333 0.667 0.500
Sb 0.500 0.000 0.000
Sb 0.500 0.500 0.000
Sb 0.667 0.333 0.500
As 0.000 0.000 0.500

Results
Total energy, eV per atom: -33.827
Energy relative to the elements, uncorrected, kJ per mole of atoms: 56.8
Space group: P6/mmm (191)
Magnetic moment, μB/f.u.: 0.0



Record 5
Material: SbAs2
Method: DFT, meta-GGA SCAN
State: PBEsol geometry

Cell lengths 3.988, 3.988, 4.887 Å; angles 90.00, 90.00, 120.00 degrees
Atoms (fractional coordinates):
Sb 0.000 0.000 0.000
As 0.333 0.667 0.347
As 0.667 0.333 0.653

Results
Total energy, eV per atom: -25.791
Energy relative to the elements, uncorrected, kJ per mole of atoms: 8.6
Space group: P-3m1 (164)
Energy relative to the lowest polymorph listed for this composition, eV per formula unit: 0.14
Magnetic moment, μB/f.u.: 0.0



Record 6
Material: SbAs3
Method: DFT, meta-GGA SCAN
State: PBEsol geometry

Cell lengths 4.826, 3.938, 4.880 Å; angles 90.00, 108.89, 90.00 degrees
Atoms (fractional coordinates):
Sb 0.000 0.000 0.000
As 0.241 0.500 0.719
As 0.500 0.000 0.500
As 0.759 0.500 0.281

Results
Total energy, eV per atom: -24.358
Energy relative to the elements, uncorrected, kJ per mole of atoms: 9.6
Space group: P2/m (10)
Energy relative to the lowest polymorph listed for this composition, eV per formula unit: 0.27
Magnetic moment, μB/f.u.: 0.0



Record 7
Material: SbAs
Method: DFT, meta-GGA SCAN
State: PBEsol geometry

Cell lengths 6.045, 6.045, 6.045 Å; angles 145.57, 133.15, 59.43 degrees
Atoms (fractional coordinates):
Sb 0.347 0.097 0.250
Sb 0.653 0.903 0.750
As 0.093 0.343 0.750
As 0.907 0.657 0.250

Results
Total energy, eV per atom: -28.411
Energy relative to the elements, uncorrected, kJ per mole of atoms: 30.3
Space group: Imma (74)
Energy relative to the lowest polymorph listed for this composition, eV per formula unit: 0.52
Magnetic moment, μB/f.u.: 0.0



Record 8
Material: ScSb2As
Method: DFT, meta-GGA SCAN
State: PBEsol geometry

Cell lengths 9.754, 9.754, 9.754 Å; angles 19.70, 19.70, 19.70 degrees
Atoms (fractional coordinates):
Sc 0.000 0.000 0.000
Sb 0.252 0.252 0.252
Sb 0.483 0.483 0.483
As 0.735 0.735 0.735

Results
Total energy, eV per atom: -27.351
Energy relative to the elements, uncorrected, kJ per mole of atoms: -10.9
Space group: R3m (160)
Magnetic moment, μB/f.u.: 0.0



Q: What is the total energy in the first record?
A: -28.665 eV per atom